Entry 1:
A plane-wave DFT calculation with GGA-PBE was carried out for a relaxed structure of PmPuPa.

Results
- M_tot: 13.08 Bohr magnetons per cell
- E_form: 1.4 eV/f.u.
- Calculated density: 12.19 Mg/m³

abc: 5.508 5.508 7.174
angles: 67.43 67.43 60.00
Site moments in Bohr magnetons follow the coordinates.
Atoms (fractional coordinates):
1 Pa 0.571 0.571 0.287  0.93
2 Pa 0.429 0.429 0.713  0.93
3 Pu 0.292 0.292 0.123  5.29
4 Pu 0.708 0.708 0.877  5.29
5 Pm 0.105 0.105 0.684  0.02
6 Pm 0.895 0.895 0.316  0.02



Entry 2:
A plane-wave DFT calculation with GGA-PBE was carried out for a relaxed structure of Pm2PuPaRu2.

Results
- M_tot: 11.58 Bohr magnetons per cell
- E_form: -1.2 eV/f.u.
- Calculated density: 10.08 Mg/m³

abc: 7.277 7.127 7.978
angles: 116.53 117.13 90.00
Site moments in Bohr magnetons follow the coordinates.
Atoms (fractional coordinates):
1 Ru 0.673 0.434 0.868  -0.11
2 Ru 0.195 0.934 0.868  -0.11
3 Ru 0.327 0.566 0.132  -0.11
4 Ru 0.805 0.066 0.132  -0.11
5 Pa 0.500 0.250 0.000  0.32
6 Pa 0.500 0.750 0.000  0.32
7 Pm 0.987 0.695 0.391  0.10
8 Pm 0.013 0.305 0.609  0.10
9 Pm 0.404 0.195 0.391  0.10
10 Pm 0.596 0.805 0.609  0.10
11 Pu 0.000 0.750 0.000  5.08
12 Pu 0.000 0.250 0.000  5.08



Entry 3:
A plane-wave DFT calculation with GGA-PBE was carried out for a relaxed structure of Pm2PuPaS4.

Results
- M_tot: 6.02 Bohr magnetons per cell
- E: -8.083 eV per atom
- Calculated density: 8.35 Mg/m³

abc: 3.962 6.899 6.885
angles: 109.36 90.00 90.00
Site moments in Bohr magnetons follow the coordinates.
Atoms (fractional coordinates):
1 S 0.000 0.746 0.241  -0.02
2 S 0.500 0.751 0.759  -0.04
3 S 0.500 0.249 0.241  -0.04
4 S 0.000 0.254 0.759  -0.02
5 Pm 0.000 0.500 0.500  -0.03
6 Pm 0.500 0.000 0.500  0.02
7 Pa 0.500 0.500 0.000  0.39
8 Pu 0.000 0.000 0.000  5.30



Entry 4:
A plane-wave DFT calculation with GGA-PBE was carried out for a relaxed structure of PmPuPa2Sb4.

Results
- M_tot: 7.15 Bohr magnetons per cell
- E: -7.500 eV per atom
- Calculated density: 9.15 Mg/m³

abc: 6.237 6.237 7.644
angles: 114.07 114.07 90.01
Site moments in Bohr magnetons follow the coordinates.
Atoms (fractional coordinates):
1 Sb 0.753 0.753 0.507  -0.04
2 Sb 0.247 0.247 0.493  -0.04
3 Sb 0.002 0.502 0.003  -0.03
4 Sb 0.498 0.998 0.997  -0.03
5 Pa 0.000 0.000 0.000  0.64
6 Pa 0.250 0.750 0.500  0.76
7 Pu 0.750 0.250 0.500  5.33
8 Pm 0.500 0.500 0.000  0.00



Entry 5:
A plane-wave DFT calculation with GGA-PBE was carried out for a relaxed structure of PmPu2PaSe4.

Results
- M_tot: 0.75 Bohr magnetons per cell
- E: -8.624 eV per atom
- Calculated density: 9.84 Mg/m³

abc: 4.101 7.261 7.084
angles: 109.22 90.00 90.00
Site moments in Bohr magnetons follow the coordinates.
Atoms (fractional coordinates):
1 Se 0.500 0.745 0.748  0.02
2 Se 0.000 0.251 0.749  -0.01
3 Se 0.500 0.255 0.252  0.02
4 Se 0.000 0.749 0.251  -0.01
5 Pu 0.500 0.000 0.500  5.36
6 Pu 0.000 0.500 0.500  -5.37
7 Pm 0.000 0.000 0.000  0.04
8 Pa 0.500 0.500 0.000  -0.66



Entry 6:
A plane-wave DFT calculation with GGA-PBE was carried out for a relaxed structure of Pm2PuPaSe4.

Results
- M_tot: 6.73 Bohr magnetons per cell
- E: -7.504 eV per atom
- Calculated density: 8.89 Mg/m³

abc: 4.119 7.187 7.219
angles: 109.14 90.00 90.00
Site moments in Bohr magnetons follow the coordinates.
Atoms (fractional coordinates):
1 Se 0.500 0.249 0.244  -0.03
2 Se 0.000 0.253 0.756  -0.02
3 Se 0.000 0.747 0.244  -0.02
4 Se 0.500 0.751 0.756  -0.03
5 Pm 0.500 0.000 0.500  0.01
6 Pm 0.000 0.500 0.500  -0.03
7 Pa 0.500 0.500 0.000  0.85
8 Pu 0.000 0.000 0.000  5.43



Entry 7:
A plane-wave DFT calculation with GGA-PBE was carried out for a relaxed structure of PmPuPa2Se4.

Results
- M_tot: 3.69 Bohr magnetons per cell
- E: -7.931 eV per atom
- Calculated density: 9.83 Mg/m³

abc: 4.018 6.950 7.433
angles: 108.25 90.00 90.00
Site moments in Bohr magnetons follow the coordinates.
Atoms (fractional coordinates):
1 Se 0.500 0.253 0.252  0.00
2 Se 0.000 0.253 0.751  -0.02
3 Se 0.000 0.747 0.249  -0.02
4 Se 0.500 0.747 0.748  0.00
5 Pa 0.500 0.000 0.500  -0.84
6 Pa 0.000 0.500 0.500  -0.79
7 Pm 0.000 0.000 0.000  0.04
8 Pu 0.500 0.500 0.000  5.38



Entry 8:
A plane-wave DFT calculation with GGA-PBE was carried out for a relaxed structure of PmPuPaSi.

Results
- M_tot: 6.87 Bohr magnetons per cell
- E: -8.431 eV per atom
- Calculated density: 11.53 Mg/m³

abc: 5.091 5.091 5.091
angles: 60.00 60.00 60.00
Site moments in Bohr magnetons follow the coordinates.
Atoms (fractional coordinates):
1 Si 0.750 0.750 0.750  -0.03
2 Pa 0.250 0.250 0.250  1.09
3 Pm 0.500 0.500 0.500  -0.01
4 Pu 0.000 0.000 0.000  5.36



Please write out number 4 again, unchanged.
A plane-wave DFT calculation with GGA-PBE was carried out for a relaxed structure of PmPuPa2Sb4.

Results
- M_tot: 7.15 Bohr magnetons per cell
- E: -7.500 eV per atom
- Calculated density: 9.15 Mg/m³

abc: 6.237 6.237 7.644
angles: 114.07 114.07 90.01
Site moments in Bohr magnetons follow the coordinates.
Atoms (fractional coordinates):
1 Sb 0.753 0.753 0.507  -0.04
2 Sb 0.247 0.247 0.493  -0.04
3 Sb 0.002 0.502 0.003  -0.03
4 Sb 0.498 0.998 0.997  -0.03
5 Pa 0.000 0.000 0.000  0.64
6 Pa 0.250 0.750 0.500  0.76
7 Pu 0.750 0.250 0.500  5.33
8 Pm 0.500 0.500 0.000  0.00